Here is crystalline La6Os2SeCl3 at its relaxed geometry from the Alexandria database. Energies are from PBE-GGA.

Geometry as POSCAR:
```
La6Os2SeCl3
1.0
4.226 0.000 0.000
0.000 9.001 0.119
-2.113 -2.798 9.127
Cl La Os Se
3 6 2 1
Cartesian
0.000 6.706 3.014 Cl
2.113 -0.503 6.232 Cl
2.113 4.500 0.060 Cl
2.113 4.072 3.261 La
0.000 2.168 0.374 La
0.000 2.130 5.985 La
2.113 0.222 3.111 La
2.113 4.034 8.872 La
0.000 5.980 6.135 La
0.000 2.105 3.082 Os
2.113 4.098 6.164 Os
2.113 0.000 0.000 Se
```

Values from the calculation:
- Uncorrected formation energy: -1249 meV/atom
- E: -6.337 eV/atom